Zn3Ag2: optimized geometry, PBEsol.

```
5
Lattice="-1.5237 1.6338 1.7855 -2.2353 -1.7589 -0.2980 4.8313 -4.8819 6.2994" Properties=species:S:1:pos:R:3 pbc="T T T"
Zn -1.8795 -0.0626 0.7438
Zn 1.7488 -2.9294 4.1729
Zn -0.6765 -2.0776 3.6141
Ag 0.5980 -1.0017 1.4269
Ag 0.4743 -4.0053 6.3601
```

Computed properties:
V = 14.882 A^3/atom
Crystal system = tetragonal
Magnetic moment = 0.00 Bohr magnetons per cell
E_form = -0.05 eV/atom
Relative energy among the computed polymorphs = 0.00 eV/f.u.
Space group = No. 139